Ho2CuB8O16 (PBE, relaxed); raw formation energy = -244.2 kJ per mole of atoms
1.0
6.232 0.000 0.000
0.000 8.506 0.000
0.000 0.000 10.247
Ho Cu B O
4 2 16 32
Direct
0.000 0.000 0.182
0.000 0.000 0.818
0.500 0.500 0.182
0.500 0.500 0.818
0.000 0.000 0.500
0.500 0.500 0.500
0.000 0.500 0.194
0.000 0.500 0.806
0.115 0.318 0.000
0.117 0.694 0.377
0.117 0.694 0.623
0.383 0.194 0.377
0.383 0.194 0.623
0.385 0.818 0.000
0.500 0.000 0.194
0.500 0.000 0.806
0.615 0.182 0.000
0.617 0.806 0.377
0.617 0.806 0.623
0.883 0.306 0.377
0.883 0.306 0.623
0.885 0.682 0.000
0.062 0.846 0.359
0.062 0.846 0.641
0.064 0.163 0.000
0.146 0.628 0.500
0.149 0.401 0.116
0.149 0.401 0.884
0.152 0.595 0.270
0.152 0.595 0.730
0.348 0.095 0.270
0.348 0.095 0.730
0.351 0.901 0.116
0.351 0.901 0.884
0.354 0.128 0.500
0.436 0.663 0.000
0.438 0.346 0.359
0.438 0.346 0.641
0.562 0.654 0.359
0.562 0.654 0.641
0.564 0.337 0.000
0.646 0.872 0.500
0.649 0.099 0.116
0.649 0.099 0.884
0.652 0.905 0.270
0.652 0.905 0.730
0.848 0.405 0.270
0.848 0.405 0.730
0.851 0.599 0.116
0.851 0.599 0.884
0.854 0.372 0.500
0.936 0.837 0.000
0.938 0.154 0.359
0.938 0.154 0.641